Material: LiReIr2
Method: DFT, PBE-GGA
State: relaxed

Output
The calculation puts the total energy at -7.790 eV/atom.

```
data_LiReIr2
_space_group_name_H-M_alt 'C m m 2'
_space_group_IT_number 35
_space_group_name_Hall 'C 2 -2'
_cell_length_a 2.770
_cell_length_b 4.587
_cell_length_c 9.292
_cell_angle_alpha 90.00
_cell_angle_beta 90.00
_cell_angle_gamma 90.00
loop_
_atom_site_label
_atom_site_type_symbol
_atom_site_fract_x
_atom_site_fract_y
_atom_site_fract_z
_atom_site_occupancy
Li1 Li 0.000 0.000 0.000 1
Re1 Re 0.000 0.500 0.738 1
Ir1 Ir 0.000 0.000 0.495 1
Ir2 Ir 0.000 0.500 0.237 1
```